# 1
An optimized crystal structure of ZrAlCo2, computed with PBE.

Output
SG: P4/mmm, No. 123
uncorrected energy: -7.016 eV per atom

Unit cell a=3.0773 b=3.0773 c=5.8668 alpha=90.00 beta=90.00 gamma=90.00
With the nearest neighbours (Å) after each atom.
Sites, in units of the cell vectors:
Al  0.0000  0.0000  0.0000  8 Co 2.56
Co  0.5000  0.5000  0.2312  4 Al 2.56, 4 Zr 2.69, 1 Co 2.71
Co  0.5000  0.5000  0.7688  4 Al 2.56, 4 Zr 2.69, 1 Co 2.71
Zr  0.0000  0.0000  0.5000  8 Co 2.69, 2 Al 2.93


# 2
An optimized crystal structure of Zr2AlCo, computed with PBE.

Output
SG: F-43m, No. 216
uncorrected energy: -6.994 eV per atom

Unit cell a=4.6125 b=4.6125 c=4.6125 alpha=60.00 beta=60.00 gamma=60.00
With the nearest neighbours (Å) after each atom.
Sites, in units of the cell vectors:
Al  0.7500  0.7500  0.7500  4 Zr 2.82, 4 Co 2.82
Co  0.5000  0.5000  0.5000  4 Al 2.82, 4 Zr 2.82
Zr  0.0000  0.0000  0.0000  4 Al 2.82, 4 Zr 2.82
Zr  0.2500  0.2500  0.2500  4 Co 2.82, 4 Zr 2.82


# 3
An optimized crystal structure of CsAlCuF6, computed with PBE.

Output
SG: Pnma, No. 62
uncorrected energy: -4.883 eV per atom

Unit cell a=6.9149 b=7.0218 c=9.8557 alpha=90.00 beta=90.00 gamma=90.00
With the nearest neighbours (Å) after each atom.
Sites, in units of the cell vectors:
Al  0.0000  0.0000  0.0000  6 F 1.80-1.82
Al  0.0000  0.5000  0.0000  6 F 1.80-1.82
Al  0.5000  0.0000  0.5000  6 F 1.80-1.82
Al  0.5000  0.5000  0.5000  6 F 1.80-1.82
Cs  0.4848  0.2500  0.1280  9 F 2.98-3.16
Cs  0.9848  0.2500  0.3720  9 F 2.98-3.16
Cs  0.0152  0.7500  0.6280  9 F 2.98-3.16
Cs  0.5152  0.7500  0.8720  9 F 2.98-3.16
Cu  0.7100  0.7500  0.2405  6 F 1.90-2.07
Cu  0.2100  0.7500  0.2595  6 F 1.90-2.07
Cu  0.7900  0.2500  0.7405  6 F 1.90-2.07
Cu  0.2900  0.2500  0.7595  6 F 1.89-2.07
F  0.9492  0.2500  0.0342  2 Al 1.82
F  0.7822  0.5541  0.0913  1 Al 1.80
F  0.7822  0.9459  0.0913  1 Al 1.80
F  0.1410  0.5082  0.1532  1 Al 1.80
F  0.1410  0.9918  0.1532  1 Al 1.80
F  0.4531  0.7500  0.1708  2 Cu 1.90
F  0.9531  0.7500  0.3292  2 Cu 1.90
F  0.6410  0.5082  0.3468  1 Al 1.80
F  0.6410  0.9918  0.3468  1 Al 1.80
F  0.2822  0.5541  0.4087  1 Al 1.80
F  0.2822  0.9459  0.4087  1 Al 1.80
F  0.4492  0.2500  0.4658  2 Al 1.82
F  0.5508  0.7500  0.5342  2 Al 1.82
F  0.7178  0.0541  0.5913  1 Al 1.80
F  0.7178  0.4459  0.5913  1 Al 1.80
F  0.3590  0.0082  0.6532  1 Al 1.80
F  0.3590  0.4918  0.6532  1 Al 1.80
F  0.0469  0.2500  0.6708  2 Cu 1.89-1.90
F  0.5469  0.2500  0.8292  2 Cu 1.90
F  0.8590  0.0082  0.8468  1 Al 1.80
F  0.8590  0.4918  0.8468  1 Al 1.80
F  0.2178  0.0541  0.9087  1 Al 1.80
F  0.2178  0.4459  0.9087  1 Al 1.80
F  0.0508  0.7500  0.9658  2 Al 1.82


Q: Look up the uncorrected energy of the second one.
A: -6.994 eV per atom